<A>
# Ce3SmOs

Crystalline Ce3SmOs at its relaxed geometry (GGA-PBE, Alexandria via LeMat-Bulk).

Geometry as CIF:
```
data_Ce3SmOs
_chemical_formula_sum 'Ce6 Sm2 Os2'
_space_group_name_H-M_alt 'P 1'
_space_group_IT_number 1
_cell_length_a 3.388
_cell_length_b 6.264
_cell_length_c 12.095
_cell_angle_alpha 89.28
_cell_angle_beta 89.48
_cell_angle_gamma 74.61
loop_
_space_group_symop_operation_xyz
'x,y,z'
loop_
_atom_site_label
_atom_site_type_symbol
_atom_site_fract_x
_atom_site_fract_y
_atom_site_fract_z
Ce1 Ce 0.051 0.408 0.321
Ce2 Ce 0.141 0.218 0.039
Ce3 Ce 0.298 0.784 0.499
Ce4 Ce 0.702 0.216 0.501
Ce5 Ce 0.859 0.782 0.961
Ce6 Ce 0.949 0.592 0.679
Sm1 Sm 0.234 0.071 0.759
Sm2 Sm 0.766 0.929 0.241
Os1 Os 0.469 0.561 0.131
Os2 Os 0.531 0.439 0.869
```

Calculated values
D(E_F): 1.811 states/eV per atom

---

<B>
# Ce3SmOs

Crystalline Ce3SmOs at its relaxed geometry (GGA-PBE, Alexandria via LeMat-Bulk).

Geometry as CIF:
```
data_Ce3SmOs
_chemical_formula_sum 'Ce6 Sm2 Os2'
_space_group_name_H-M_alt 'P 1'
_space_group_IT_number 1
_cell_length_a 7.276
_cell_length_b 7.276
_cell_length_c 6.025
_cell_angle_alpha 90.00
_cell_angle_beta 90.00
_cell_angle_gamma 120.00
loop_
_space_group_symop_operation_xyz
'x,y,z'
loop_
_atom_site_label
_atom_site_type_symbol
_atom_site_fract_x
_atom_site_fract_y
_atom_site_fract_z
Ce1 Ce 0.187 0.374 0.250
Ce2 Ce 0.187 0.813 0.250
Ce3 Ce 0.374 0.187 0.750
Ce4 Ce 0.626 0.813 0.250
Ce5 Ce 0.813 0.187 0.750
Ce6 Ce 0.813 0.626 0.750
Sm1 Sm 0.333 0.667 0.750
Sm2 Sm 0.667 0.333 0.250
Os1 Os 0.000 0.000 0.000
Os2 Os 0.000 0.000 0.500
```

Calculated values
D(E_F): 2.177 states/eV per atom

---

Which one sits at the top of the stability order? <B> does.

---

<A>
# CeSm2Os

Crystalline CeSm2Os at its relaxed geometry (GGA-PBE, Alexandria via LeMat-Bulk).

Geometry as CIF:
```
data_CeSm2Os
_chemical_formula_sum 'Ce1 Sm2 Os1'
_space_group_name_H-M_alt 'P 1'
_space_group_IT_number 1
_cell_length_a 11.123
_cell_length_b 11.123
_cell_length_c 11.123
_cell_angle_alpha 17.51
_cell_angle_beta 17.51
_cell_angle_gamma 17.51
loop_
_space_group_symop_operation_xyz
'x,y,z'
loop_
_atom_site_label
_atom_site_type_symbol
_atom_site_fract_x
_atom_site_fract_y
_atom_site_fract_z
Ce1 Ce 0.000 0.000 0.000
Sm1 Sm 0.102 0.102 0.102
Sm2 Sm 0.898 0.898 0.898
Os1 Os 0.500 0.500 0.500
```

Calculated values
D(E_F): 2.011 states/eV per atom

---

<B>
# CeSm2Os

Crystalline CeSm2Os at its relaxed geometry (GGA-PBE, Alexandria via LeMat-Bulk).

Geometry as CIF:
```
data_CeSm2Os
_chemical_formula_sum 'Ce2 Sm4 Os2'
_space_group_name_H-M_alt 'P 1'
_space_group_IT_number 1
_cell_length_a 3.890
_cell_length_b 9.547
_cell_length_c 6.439
_cell_angle_alpha 90.00
_cell_angle_beta 107.54
_cell_angle_gamma 90.00
loop_
_space_group_symop_operation_xyz
'x,y,z'
loop_
_atom_site_label
_atom_site_type_symbol
_atom_site_fract_x
_atom_site_fract_y
_atom_site_fract_z
Ce1 Ce 0.086 0.250 0.172
Ce2 Ce 0.914 0.750 0.828
Sm1 Sm 0.356 0.068 0.712
Sm2 Sm 0.356 0.432 0.712
Sm3 Sm 0.644 0.568 0.288
Sm4 Sm 0.644 0.932 0.288
Os1 Os 0.267 0.750 0.534
Os2 Os 0.733 0.250 0.466
```

Calculated values
D(E_F): 1.832 states/eV per atom

---

Which one sits at the top of the stability order? <B> does.

---

<A>
# Ce2SmOs2

Crystalline Ce2SmOs2 at its relaxed geometry (GGA-PBE, Alexandria via LeMat-Bulk).

Geometry as CIF:
```
data_Ce2SmOs2
_chemical_formula_sum 'Ce4 Sm2 Os4'
_space_group_name_H-M_alt 'P 1'
_space_group_IT_number 1
_cell_length_a 6.405
_cell_length_b 6.405
_cell_length_c 10.611
_cell_angle_alpha 116.29
_cell_angle_beta 116.29
_cell_angle_gamma 38.55
loop_
_space_group_symop_operation_xyz
'x,y,z'
loop_
_atom_site_label
_atom_site_type_symbol
_atom_site_fract_x
_atom_site_fract_y
_atom_site_fract_z
Ce1 Ce 0.048 0.048 0.208
Ce2 Ce 0.178 0.178 0.586
Ce3 Ce 0.822 0.822 0.414
Ce4 Ce 0.952 0.952 0.792
Sm1 Sm 0.304 0.304 0.142
Sm2 Sm 0.696 0.696 0.858
Os1 Os 0.380 0.380 0.911
Os2 Os 0.441 0.441 0.581
Os3 Os 0.559 0.559 0.419
Os4 Os 0.620 0.620 0.089
```

Calculated values
D(E_F): 1.416 states/eV per atom

---

<B>
# Ce2SmOs2

Crystalline Ce2SmOs2 at its relaxed geometry (GGA-PBE, Alexandria via LeMat-Bulk).

Geometry as CIF:
```
data_Ce2SmOs2
_chemical_formula_sum 'Ce4 Sm2 Os4'
_space_group_name_H-M_alt 'P 1'
_space_group_IT_number 1
_cell_length_a 5.181
_cell_length_b 4.730
_cell_length_c 10.315
_cell_angle_alpha 90.00
_cell_angle_beta 95.58
_cell_angle_gamma 90.00
loop_
_space_group_symop_operation_xyz
'x,y,z'
loop_
_atom_site_label
_atom_site_type_symbol
_atom_site_fract_x
_atom_site_fract_y
_atom_site_fract_z
Ce1 Ce 0.118 0.250 0.389
Ce2 Ce 0.231 0.750 0.968
Ce3 Ce 0.769 0.250 0.032
Ce4 Ce 0.882 0.750 0.611
Sm1 Sm 0.426 0.250 0.720
Sm2 Sm 0.574 0.750 0.280
Os1 Os 0.313 0.250 0.132
Os2 Os 0.341 0.750 0.542
Os3 Os 0.659 0.250 0.458
Os4 Os 0.687 0.750 0.868
```

Calculated values
D(E_F): 1.087 states/eV per atom

---

Which one sits at the top of the stability order? <B> does.

---

<A>
# Ce2SnOs

Crystalline Ce2SnOs at its relaxed geometry (GGA-PBE, Alexandria via LeMat-Bulk).

Geometry as CIF:
```
data_Ce2SnOs
_chemical_formula_sum 'Ce2 Sn1 Os1'
_space_group_name_H-M_alt 'P 1'
_space_group_IT_number 1
_cell_length_a 5.747
_cell_length_b 5.747
_cell_length_c 5.747
_cell_angle_alpha 48.96
_cell_angle_beta 48.96
_cell_angle_gamma 48.96
loop_
_space_group_symop_operation_xyz
'x,y,z'
loop_
_atom_site_label
_atom_site_type_symbol
_atom_site_fract_x
_atom_site_fract_y
_atom_site_fract_z
Ce1 Ce 0.236 0.236 0.236
Ce2 Ce 0.764 0.764 0.764
Sn1 Sn 0.000 0.000 0.000
Os1 Os 0.500 0.500 0.500
```

Calculated values
D(E_F): 1.316 states/eV per atom

---

<B>
# Ce2SnOs

Crystalline Ce2SnOs at its relaxed geometry (GGA-PBE, Alexandria via LeMat-Bulk).

Geometry as CIF:
```
data_Ce2SnOs
_chemical_formula_sum 'Ce4 Sn2 Os2'
_space_group_name_H-M_alt 'P 1'
_space_group_IT_number 1
_cell_length_a 7.120
_cell_length_b 7.120
_cell_length_c 7.412
_cell_angle_alpha 91.09
_cell_angle_beta 91.09
_cell_angle_gamma 32.63
loop_
_space_group_symop_operation_xyz
'x,y,z'
loop_
_atom_site_label
_atom_site_type_symbol
_atom_site_fract_x
_atom_site_fract_y
_atom_site_fract_z
Ce1 Ce 0.046 0.046 0.289
Ce2 Ce 0.232 0.232 0.701
Ce3 Ce 0.768 0.768 0.299
Ce4 Ce 0.954 0.954 0.711
Sn1 Sn 0.393 0.393 0.043
Sn2 Sn 0.607 0.607 0.957
Os1 Os 0.395 0.395 0.432
Os2 Os 0.605 0.605 0.568
```

Calculated values
D(E_F): 1.900 states/eV per atom

---

<C>
# Ce2SnOs

Crystalline Ce2SnOs at its relaxed geometry (GGA-PBE, Alexandria via LeMat-Bulk).

Geometry as CIF:
```
data_Ce2SnOs
_chemical_formula_sum 'Ce2 Sn1 Os1'
_space_group_name_H-M_alt 'P 1'
_space_group_IT_number 1
_cell_length_a 4.526
_cell_length_b 4.526
_cell_length_c 4.381
_cell_angle_alpha 90.00
_cell_angle_beta 90.00
_cell_angle_gamma 90.00
loop_
_space_group_symop_operation_xyz
'x,y,z'
loop_
_atom_site_label
_atom_site_type_symbol
_atom_site_fract_x
_atom_site_fract_y
_atom_site_fract_z
Ce1 Ce 0.000 0.500 0.000
Ce2 Ce 0.500 0.000 0.000
Sn1 Sn 0.000 0.000 0.500
Os1 Os 0.500 0.500 0.500
```

Calculated values
D(E_F): 1.349 states/eV per atom

---

Which one sits at the top of the stability order? <B> does.

---

<A>
# Ce3SnOs

Crystalline Ce3SnOs at its relaxed geometry (GGA-PBE, Alexandria via LeMat-Bulk).

Geometry as CIF:
```
data_Ce3SnOs
_chemical_formula_sum 'Ce12 Sn4 Os4'
_space_group_name_H-M_alt 'P 1'
_space_group_IT_number 1
_cell_length_a 11.773
_cell_length_b 4.312
_cell_length_c 11.003
_cell_angle_alpha 90.00
_cell_angle_beta 90.00
_cell_angle_gamma 90.00
loop_
_space_group_symop_operation_xyz
'x,y,z'
loop_
_atom_site_label
_atom_site_type_symbol
_atom_site_fract_x
_atom_site_fract_y
_atom_site_fract_z
Ce1 Ce 0.046 0.250 0.171
Ce2 Ce 0.112 0.750 0.543
Ce3 Ce 0.221 0.250 0.789
Ce4 Ce 0.279 0.750 0.289
Ce5 Ce 0.388 0.250 0.043
Ce6 Ce 0.454 0.750 0.671
Ce7 Ce 0.546 0.250 0.329
Ce8 Ce 0.612 0.750 0.957
Ce9 Ce 0.721 0.250 0.711
Ce10 Ce 0.779 0.750 0.211
Ce11 Ce 0.888 0.250 0.457
Ce12 Ce 0.954 0.750 0.829
Sn1 Sn 0.179 0.750 0.004
Sn2 Sn 0.321 0.250 0.504
Sn3 Sn 0.679 0.750 0.496
Sn4 Sn 0.821 0.250 0.996
Os1 Os 0.001 0.250 0.676
Os2 Os 0.499 0.750 0.176
Os3 Os 0.501 0.250 0.824
Os4 Os 0.999 0.750 0.324
```

Calculated values
D(E_F): 2.639 states/eV per atom

---

<B>
# Ce3SnOs

Crystalline Ce3SnOs at its relaxed geometry (GGA-PBE, Alexandria via LeMat-Bulk).

Geometry as CIF:
```
data_Ce3SnOs
_chemical_formula_sum 'Ce3 Sn1 Os1'
_space_group_name_H-M_alt 'P 1'
_space_group_IT_number 1
_cell_length_a 5.370
_cell_length_b 5.370
_cell_length_c 5.370
_cell_angle_alpha 90.00
_cell_angle_beta 90.00
_cell_angle_gamma 90.00
loop_
_space_group_symop_operation_xyz
'x,y,z'
loop_
_atom_site_label
_atom_site_type_symbol
_atom_site_fract_x
_atom_site_fract_y
_atom_site_fract_z
Ce1 Ce 0.000 0.000 0.500
Ce2 Ce 0.000 0.500 0.000
Ce3 Ce 0.500 0.000 0.000
Sn1 Sn 0.500 0.500 0.500
Os1 Os 0.000 0.000 0.000
```

Calculated values
D(E_F): 3.264 states/eV per atom

---

Which one sits at the top of the stability order? <A> does.